# 1
SrCo2Ru: relaxed, PBE.

Cell lengths 3.293, 4.618, 4.412 Å; angles 90.00, 90.00, 90.00 degrees
Positions (direct):
Co: 0.500 0.500 0.000
Co: 0.000 0.000 0.000
Ru: 0.500 0.000 0.500
Sr: 0.000 0.500 0.500

## Properties
* energy above the lowest structure with this stoichiometry: 0.687 eV/atom

=====

# 2
SrCoRu4: relaxed, PBE.

Cell lengths 5.270, 5.270, 5.270 Å; angles 60.00, 60.00, 60.00 degrees
Positions (direct):
Sr: 0.750 0.750 0.750
Ru: 0.374 0.374 0.374
Ru: 0.374 0.374 0.878
Ru: 0.878 0.374 0.374
Ru: 0.374 0.878 0.374
Co: 0.000 0.000 0.000

=====

# 3
SrCo2Ru: relaxed, PBE.

Cell lengths 5.493, 5.493, 5.493 Å; angles 147.60, 125.80, 64.58 degrees
Positions (direct):
Sr: 0.750 0.250 0.500
Ru: 0.250 0.750 0.500
Co: 0.040 0.040 0.000
Co: 0.460 0.460 0.000

## Properties
* energy above the lowest structure with this stoichiometry: 0.546 eV/atom

=====

# 4
SrCo2Ru: relaxed, PBE.

Cell lengths 4.547, 4.547, 4.547 Å; angles 60.00, 60.00, 60.00 degrees
Positions (direct):
Sr: 0.000 0.000 0.000
Ru: 0.500 0.500 0.500
Co: 0.250 0.250 0.250
Co: 0.750 0.750 0.750

## Properties
* energy above the lowest structure with this stoichiometry: 0.513 eV/atom

=====

# 5
SrCoRu2: relaxed, PBE.

Cell lengths 5.598, 5.598, 5.598 Å; angles 148.86, 127.28, 62.51 degrees
Positions (direct):
Sr: 0.497 0.497 0.000
Ru: 0.005 0.005 0.000
Ru: 0.784 0.284 0.500
Co: 0.214 0.714 0.500

## Properties
* energy above the lowest structure with this stoichiometry: 0.491 eV/atom

=====

# 6
SrCo2Ru2: relaxed, PBE.

Cell lengths 4.268, 4.268, 5.722 Å; angles 68.10, 68.10, 90.00 degrees
Positions (direct):
Co: 0.250 0.750 0.500
Ru: 0.373 0.373 0.253
Sr: 0.000 0.000 0.000
Co: 0.750 0.250 0.500
Ru: 0.627 0.627 0.747

## Properties
* energy above the lowest structure with this stoichiometry: 0.019 eV/atom

=====

Number 1: total DFT energy (no corrections) -21.6 eV per formula unit. Number 2: total DFT energy (no corrections) -41.9 eV per formula unit. Number 3: total DFT energy (no corrections) -22.1 eV per formula unit. Number 4: total DFT energy (no corrections) -22.3 eV per formula unit. Number 5: total DFT energy (no corrections) -24.2 eV per formula unit. Number 6: total DFT energy (no corrections) -32.6 eV per formula unit.